20
Lattice="5.577 0.000 0.000 -2.789 4.522 -1.848 0.000 0.169 9.245" Properties=species:S:1:pos:R:3 comment="ErVO3, optimized geometry, DFT PBE+U" e_tot_ev_per_atom=-8.203 pbc="T T T"
Er -1.001 3.353 6.685
Er 1.788 1.424 5.335
Er 3.790 1.339 0.712
Er 1.001 3.268 2.063
V -1.394 2.346 3.699
V 1.394 2.261 -0.924
V 1.196 0.042 2.311
V 4.381 0.127 6.934
O 0.267 1.487 7.011
O 3.056 3.289 5.009
O 2.521 3.204 0.387
O -0.267 1.403 2.388
O 0.272 3.050 4.654
O 3.061 1.726 7.366
O 2.516 1.642 2.744
O -0.272 2.965 0.031
O 1.243 4.110 7.027
O 4.032 0.667 4.993
O -1.243 4.025 2.404
O 1.545 0.582 0.371